# NpNbB

NpNbB after structural relaxation (PBE, the Open Quantum Materials Database).

## Properties
Energy relative to the lowest polymorph listed for this composition in eV per formula unit: 0.00
Total magnetization in Bohr magnetons per cell: 3.72

abc: 4.117 4.117 4.117
angles: 60.00 60.00 60.00
Sites, in units of the cell vectors:
1 Np 0.000 0.000 0.000
2 Nb 0.500 0.500 0.500
3 B 0.750 0.750 0.750



# TmAlCo

TmAlCo after structural relaxation (PBE, the Open Quantum Materials Database).

## Properties
E_tot in eV for the cell shown: -13.32
Total magnetization in Bohr magnetons per cell: 0.30

abc: 4.529 4.529 4.529
angles: 60.00 60.00 60.00
Sites, in units of the cell vectors:
1 Tm 0.000 0.000 0.000
2 Al 0.750 0.750 0.750
3 Co 0.250 0.250 0.250



# FeBiSe3

FeBiSe3 after structural relaxation (PBE, the Open Quantum Materials Database).

## Properties
E_tot in eV for the cell shown: -95.78
Total magnetization in Bohr magnetons per cell: 4.16

abc: 8.637 3.790 13.761
angles: 90.00 90.00 90.00
Sites, in units of the cell vectors:
1 Fe 0.141 0.250 0.041
2 Fe 0.359 0.750 0.541
3 Fe 0.641 0.250 0.459
4 Fe 0.859 0.750 0.959
5 Bi 0.005 0.750 0.340
6 Bi 0.495 0.250 0.840
7 Bi 0.505 0.750 0.160
8 Bi 0.995 0.250 0.660
9 Se 0.004 0.250 0.894
10 Se 0.186 0.250 0.491
11 Se 0.226 0.750 0.700
12 Se 0.274 0.250 0.200
13 Se 0.314 0.750 0.991
14 Se 0.496 0.750 0.394
15 Se 0.504 0.250 0.606
16 Se 0.686 0.250 0.009
17 Se 0.726 0.750 0.800
18 Se 0.774 0.250 0.300
19 Se 0.814 0.750 0.509
20 Se 0.996 0.750 0.106



# GaPIrO

GaPIrO after structural relaxation (PBE, the Open Quantum Materials Database).

## Properties
Energy relative to the lowest polymorph listed for this composition in eV per formula unit: 1.13
Total magnetization in Bohr magnetons per cell: 0.00

abc: 3.443 7.652 4.710
angles: 90.00 90.00 90.00
Sites, in units of the cell vectors:
1 Ga 0.000 0.128 0.000
2 Ga 0.000 0.872 0.500
3 P 0.500 0.325 0.885
4 P 0.500 0.675 0.385
5 Ir 0.500 0.388 0.402
6 Ir 0.500 0.612 0.902
7 O 0.000 0.104 0.394
8 O 0.000 0.896 0.894



# ZnHgAsO

ZnHgAsO after structural relaxation (PBE, the Open Quantum Materials Database).

## Properties
Energy relative to the lowest polymorph listed for this composition in eV per formula unit: 0.00

abc: 3.130 7.110 6.709
angles: 90.00 90.00 90.00
Sites, in units of the cell vectors:
1 Zn 0.000 0.224 0.000
2 Zn 0.000 0.776 0.500
3 Hg 0.500 0.331 0.571
4 Hg 0.500 0.669 0.071
5 As 0.000 0.102 0.345
6 As 0.000 0.898 0.845
7 O 0.500 0.368 0.914
8 O 0.500 0.632 0.414



# LaDyNi4

LaDyNi4 after structural relaxation (PBE, the Open Quantum Materials Database).

## Properties
Energy relative to the lowest polymorph listed for this composition in eV per formula unit: 0.00
Formation energy in eV per formula unit: -2.27
Total magnetization in Bohr magnetons per cell: 0.00

abc: 5.105 5.105 5.105
angles: 60.00 60.00 60.00
Sites, in units of the cell vectors:
1 La 0.000 0.000 0.000
2 Dy 0.250 0.250 0.250
3 Ni 0.127 0.624 0.624
4 Ni 0.624 0.127 0.624
5 Ni 0.624 0.624 0.127
6 Ni 0.624 0.624 0.624



What did the first record say?
# NpNbB

NpNbB after structural relaxation (PBE, the Open Quantum Materials Database).

## Properties
Energy relative to the lowest polymorph listed for this composition in eV per formula unit: 0.00
Total magnetization in Bohr magnetons per cell: 3.72

abc: 4.117 4.117 4.117
angles: 60.00 60.00 60.00
Sites, in units of the cell vectors:
1 Np 0.000 0.000 0.000
2 Nb 0.500 0.500 0.500
3 B 0.750 0.750 0.750